# CeSmRh PBE-GGA relaxed
# excess energy over the best structure of this formula in the dataset = 190 meV/atom
# DOS(E_F) = 5.9 states/eV per cell
# total energy = -19.0 eV per cell
# energy of formation from the pure elements = -0.3156 eV/atom
data_CeSmRh
_chemical_formula_sum 'Ce1 Sm1 Rh1'
_cell_length_a 4.5845
_cell_length_b 4.5845
_cell_length_c 4.0082
_cell_angle_alpha 90.00
_cell_angle_beta 90.00
_cell_angle_gamma 120.00
_space_group_name_H-M_alt 'P 3 m 1'
_space_group_IT_number 156
_space_group_name_Hall 'P 3 -2"'
loop_
_atom_site_label
_atom_site_type_symbol
_atom_site_fract_x
_atom_site_fract_y
_atom_site_fract_z
Ce1 Ce 0.0000 0.0000 0.0000
Sm1 Sm 0.3333 0.6667 0.5868
Rh1 Rh 0.6667 0.3333 0.2707